(P)
DFT (GGA-PBE) results for a relaxed structure of KAlAsBr2.

Cell: 5.479 5.479 4.866 Å, 90.00 90.00 90.00°
Space group P4/mmm (No. 123)
Asymmetric unit:
K 0.000 0.000 0.000 [1 per cell]
Al 0.500 0.500 0.500 [1 per cell]
As 0.500 0.500 0.000 [1 per cell]
Br 0.000 0.500 0.500 [2 per cell]

Results
The size of the total moment is 1.099 μB/cell. The calculation puts the density of states at the Fermi level at 2.37 states/eV/cell.

(Q)
DFT (GGA-PBE) results for a relaxed structure of KAlAsBr2.

Cell: 6.125 6.125 6.131 Å, 90.00 90.00 90.00°
Space group P4/mmm (No. 123)
Asymmetric unit:
K 0.000 0.000 0.000 [1 per cell]
Al 0.500 0.500 0.500 [1 per cell]
As 0.000 0.000 0.500 [1 per cell]
Br 0.000 0.500 0.000 [2 per cell]

Results
The size of the total moment is 3.071 μB/cell.

How far above the most stable structure does each one sit? In kJ/mol of atoms: (P) 0.0; (Q) 82.7.

(P)
DFT (GGA-PBE) results for a relaxed structure of KAlAs2Br.

Cell: 6.267 6.267 5.937 Å, 90.00 90.00 90.00°
Space group P4/mmm (No. 123)
Asymmetric unit:
K 0.000 0.000 0.000 [1 per cell]
Al 0.500 0.500 0.500 [1 per cell]
As 0.000 0.500 0.000 [2 per cell]
Br 0.000 0.000 0.500 [1 per cell]

Results
The size of the total moment is 5.010 μB/cell. The calculation puts the density of states at the Fermi level at 2.47 states/eV/cell.

(Q)
DFT (GGA-PBE) results for a relaxed structure of KAlAs2Br.

Cell: 4.828 4.828 6.130 Å, 90.00 90.00 90.00°
Space group P4/mmm (No. 123)
Asymmetric unit:
K 0.000 0.000 0.000 [1 per cell]
Al 0.500 0.500 0.500 [1 per cell]
As 0.000 0.500 0.500 [2 per cell]
Br 0.500 0.500 0.000 [1 per cell]

Results
The size of the total moment is 0.000 μB/cell. The calculation puts the density of states at the Fermi level at 4.21 states/eV/cell.

How far above the most stable structure does each one sit? In kJ/mol of atoms: (P) 115.6; (Q) 0.0.

(P)
DFT (GGA-PBE) results for a relaxed structure of LaAlAsBr2.

Cell: 5.082 5.082 5.111 Å, 90.00 90.00 90.00°
Space group P4/mmm (No. 123)
Asymmetric unit:
La 0.000 0.000 0.000 [1 per cell]
Al 0.500 0.500 0.500 [1 per cell]
As 0.500 0.500 0.000 [1 per cell]
Br 0.000 0.500 0.500 [2 per cell]

Results
The size of the total moment is 0.309 μB/cell. The calculation puts the density of states at the Fermi level at 4.30 states/eV/cell.

(Q)
DFT (GGA-PBE) results for a relaxed structure of LaAlAsBr2.

Cell: 5.815 5.815 5.864 Å, 90.00 90.00 90.00°
Space group P4/mmm (No. 123)
Asymmetric unit:
La 0.000 0.000 0.000 [1 per cell]
Al 0.500 0.500 0.500 [1 per cell]
As 0.000 0.000 0.500 [1 per cell]
Br 0.000 0.500 0.000 [2 per cell]

Results
The size of the total moment is 0.673 μB/cell. The calculation puts the density of states at the Fermi level at 3.15 states/eV/cell.

How far above the most stable structure does each one sit? In kJ/mol of atoms: (P) 0.0; (Q) 15.7.

(P)
DFT (GGA-PBE) results for a relaxed structure of LaAlAs2Br.

Cell: 4.903 4.903 5.164 Å, 90.00 90.00 90.00°
Space group P4/mmm (No. 123)
Asymmetric unit:
La 0.000 0.000 0.000 [1 per cell]
Al 0.500 0.500 0.500 [1 per cell]
As 0.000 0.500 0.500 [2 per cell]
Br 0.500 0.500 0.000 [1 per cell]

Results
The size of the total moment is 0.000 μB/cell. The calculation puts the density of states at the Fermi level at 2.05 states/eV/cell.

(Q)
DFT (GGA-PBE) results for a relaxed structure of LaAlAs2Br.

Cell: 5.755 5.755 5.827 Å, 90.00 90.00 90.00°
Space group P4/mmm (No. 123)
Asymmetric unit:
La 0.000 0.000 0.000 [1 per cell]
Al 0.500 0.500 0.500 [1 per cell]
As 0.000 0.500 0.000 [2 per cell]
Br 0.000 0.000 0.500 [1 per cell]

Results
The size of the total moment is 0.783 μB/cell. The calculation puts the density of states at the Fermi level at 4.97 states/eV/cell.

How far above the most stable structure does each one sit? In kJ/mol of atoms: (P) 0.0; (Q) 68.4.